The following is a DFT calculation (PBE-GGA) of a geometry-optimized HfSnPd2 structure.

Values from the calculation:
formation energy from the elements: -63.6 kJ per mole of atoms
Fermi-level density of states: 0.203 states/eV/atom
magnetization: 0.0 μB/f.u.

a b c (Å): 3.4826 3.4826 6.1989
angles (deg): 90.00 90.00 90.00
Closest atoms and distances in Å follow each position.
Space group P4/mmm (No. 123)
Inequivalent atoms, fractional coordinates:
Hf  0.0000  0.0000  0.0000 [1 per cell]  8 Pd 2.83, 2 Sn 3.10
Sn  0.0000  0.0000  0.5000 [1 per cell]  8 Pd 2.99, 2 Hf 3.10
Pd  0.5000  0.5000  0.2251 [2 per cell]  1 Pd 2.79, 4 Hf 2.83, 4 Sn 2.99

---

The following is a DFT calculation (PBE-GGA) of a geometry-optimized Y3Te2Ru structure.

Values from the calculation:
Fermi-level density of states: 0.568 states/eV/atom
magnetization: 0.0 μB/f.u.
uncorrected formation energy: -20.827 kcal/mol of atoms

a b c (Å): 4.1401 6.0121 13.4084
angles (deg): 90.00 90.00 90.00
Closest atoms and distances in Å follow each position.
Space group Immm (No. 71)
Inequivalent atoms, fractional coordinates:
Y  0.0000  0.0000  0.0000 [2 per cell]  2 Ru 3.01, 4 Te 3.17
Y  0.0000  0.0000  0.3645 [4 per cell]  2 Ru 2.75, 2 Te 3.06
Te  0.0000  0.5000  0.3213 [4 per cell]  6 Y 3.06-3.24
Ru  0.0000  0.5000  0.0000 [2 per cell]  6 Y 2.75-3.01

---

The following is a DFT calculation (PBE-GGA) of a geometry-optimized SnBiTe4 structure.

Values from the calculation:
Fermi-level density of states: 0.512 states/eV/atom
magnetization: 0.0 μB/f.u.
uncorrected formation energy: 1.225 kcal/mol of atoms

a b c (Å): 10.2536 8.9964 9.9734
angles (deg): 90.00 90.00 90.00
Closest atoms and distances in Å follow each position.
Space group Cmcm (No. 63)
Inequivalent atoms, fractional coordinates:
Sn  0.0000  0.0589  0.2500 [4 per cell]  4 Te 2.80-2.88
Bi  0.0000  0.4963  0.7500 [4 per cell]  4 Te 3.02-3.16
Te  0.0000  0.2696  0.0332 [8 per cell]  1 Sn 2.88, 1 Bi 3.02
Te  0.2161  0.1317  0.7500 [8 per cell]  1 Sn 2.80

---

The following is a DFT calculation (PBE-GGA) of a geometry-optimized Ga2HgTe structure.

Values from the calculation:
Fermi-level density of states: 0.252 states/eV/atom
magnetization: 0.0 μB/f.u.
uncorrected formation energy: 0.040 kcal/mol of atoms

a b c (Å): 4.9348 4.9348 4.1647
angles (deg): 90.00 90.00 90.00
Closest atoms and distances in Å follow each position.
Space group P4/mmm (No. 123)
Inequivalent atoms, fractional coordinates:
Ga  0.0000  0.5000  0.0000 [2 per cell]  4 Hg 3.23, 4 Te 3.23, 4 Ga 3.49
Hg  0.0000  0.0000  0.5000 [1 per cell]  8 Ga 3.23, 4 Te 3.49
Te  0.5000  0.5000  0.5000 [1 per cell]  8 Ga 3.23, 4 Hg 3.49

---

The following is a DFT calculation (PBE-GGA) of a geometry-optimized CeBe4As3O12 structure.

Values from the calculation:
Fermi-level density of states: 0.255 states/eV/atom
magnetization: 0.7 μB/f.u.
uncorrected formation energy: -43.457 kcal/mol of atoms

a b c (Å): 9.9419 9.9419 7.5437
angles (deg): 90.00 90.00 120.00
Closest atoms and distances in Å follow each position.
Space group R32 (No. 155, hexagonal axes)
Inequivalent atoms, fractional coordinates:
Ce  0.0000  0.0000  0.0000 [3 per cell]  6 O 2.41
Be  0.0000  0.0000  0.5000 [3 per cell]  3 O 1.57
Be  0.0000  0.4389  0.5000 [9 per cell]  3 O 1.54-1.57
As  0.0000  0.5564  0.0000 [9 per cell]  6 O 1.94-2.01
O  0.0000  0.5966  0.5000 [9 per cell]  1 Be 1.57
O  0.0000  0.8423  0.5000 [9 per cell]  1 Be 1.57
O  0.0410  0.2136  0.1863 [18 per cell]  1 Be 1.54

---

The following is a DFT calculation (PBE-GGA) of a geometry-optimized Ho2PaC2 structure.

Values from the calculation:
formation energy from the elements: -34.8 kJ per mole of atoms
Fermi-level density of states: 0.824 states/eV/atom
magnetization: 0.0 μB/f.u.

a b c (Å): 3.5815 3.5815 27.3433
angles (deg): 90.00 90.00 120.00
Closest atoms and distances in Å follow each position.
Space group R-3m (No. 166, hexagonal axes)
Inequivalent atoms, fractional coordinates:
Ho  0.0000  0.0000  0.2304 [6 per cell]  3 C 2.47
Pa  0.0000  0.0000  0.0000 [3 per cell]  6 C 2.53
C  0.0000  0.0000  0.3867 [6 per cell]  3 Ho 2.47, 3 Pa 2.53

---

The following is a DFT calculation (PBE-GGA) of a geometry-optimized V6FeRu structure.

Values from the calculation:
formation energy from the elements: -21.1 kJ per mole of atoms
Fermi-level density of states: 0.478 states/eV/atom
magnetization: 0.0 μB/f.u.

a b c (Å): 5.8908 8.3834 4.1774
angles (deg): 90.00 90.00 90.00
Closest atoms and distances in Å follow each position.
Space group Cmmm (No. 65)
Inequivalent atoms, fractional coordinates:
V  0.0000  0.2483  0.0000 [4 per cell]  8 V 2.53-2.59
V  0.2447  0.0000  0.0000 [4 per cell]  4 V 2.53-2.59, 2 Fe 2.54, 2 Ru 2.57
V  0.2500  0.2500  0.5000 [4 per cell]  4 V 2.56, 2 Fe 2.56, 2 Ru 2.56
Fe  0.0000  0.0000  0.5000 [2 per cell]  8 V 2.54-2.56
Ru  0.0000  0.5000  0.5000 [2 per cell]  8 V 2.56-2.57

---

The following is a DFT calculation (PBE-GGA) of a geometry-optimized CaRe structure.

Values from the calculation:
formation energy from the elements: 59.8 kJ per mole of atoms
Fermi-level density of states: 0.927 states/eV/atom
magnetization: 0.0 μB/f.u.

a b c (Å): 5.6087 8.7020 14.4486
angles (deg): 90.00 90.00 90.00
Closest atoms and distances in Å follow each position.
Space group Fddd (No. 70, origin choice 2)
Inequivalent atoms, fractional coordinates:
Ca  0.1250  0.2874  0.1250 [16 per cell]  1 Ca 2.83, 4 Re 2.91-3.16
Re  0.1250  0.1250  0.5436 [16 per cell]  1 Re 2.35

---

The following is a DFT calculation (PBE-GGA) of a geometry-optimized CdRe2H structure.

Values from the calculation:
electronic total energy: -102.22 eV per cell
Fermi-level density of states: 0.716 states/eV/atom
magnetization: 0.0 μB/f.u.

a b c (Å): 5.2000 5.2000 8.8550
angles (deg): 90.00 90.00 90.00
Closest atoms and distances in Å follow each position.
Space group I4_1/amd (No. 141, origin choice 2)
Inequivalent atoms, fractional coordinates:
Cd  0.0000  0.2500  0.3750 [4 per cell]  8 Re 3.11, 4 H 3.41, 4 Cd 3.41
Re  0.0000  0.0000  0.0000 [8 per cell]  2 H 1.71
H  0.0000  0.2500  0.8750 [4 per cell]  4 Re 1.71

---

The following is a DFT calculation (PBE-GGA) of a geometry-optimized RhAuBr4 structure.

Values from the calculation:
magnetization: 0.0 μB/f.u.
uncorrected formation energy: -6.798 kcal/mol of atoms

a b c (Å): 7.0480 18.0918 6.4562
angles (deg): 90.00 93.06 90.00
Closest atoms and distances in Å follow each position.
Space group C2/c (No. 15)
Inequivalent atoms, fractional coordinates:
Rh  0.0000  0.0506  0.2500 [4 per cell]  6 Br 2.51-2.53
Au  0.0000  0.3512  0.7500 [4 per cell]  2 Br 2.43
Br  0.1977  0.0467  0.9387 [8 per cell]  2 Rh 2.51-2.52
Br  0.2022  0.1512  0.4223 [8 per cell]  1 Au 2.43, 1 Rh 2.53

---

The following is a DFT calculation (PBE-GGA) of a geometry-optimized SiSbIrPt2 structure.

Values from the calculation:
Fermi-level density of states: 1.334 states/eV/atom
magnetization: 0.0 μB/f.u.
uncorrected formation energy: 15.880 kcal/mol of atoms

a b c (Å): 5.0295 5.0295 4.3724
angles (deg): 90.00 90.00 90.00
Closest atoms and distances in Å follow each position.
Space group P4/mmm (No. 123)
Inequivalent atoms, fractional coordinates:
Si  0.0000  0.0000  0.0000 [1 per cell]  2 Ir 2.19
Sb  0.5000  0.5000  0.0000 [1 per cell]  8 Pt 3.33, 4 Si 3.56
Ir  0.0000  0.0000  0.5000 [1 per cell]  2 Si 2.19
Pt  0.0000  0.5000  0.5000 [2 per cell]  2 Ir 2.51

---

The following is a DFT calculation (PBE-GGA) of a geometry-optimized Li3SiTc structure.

Values from the calculation:
Fermi-level density of states: 2.052 states/eV/atom
magnetization: 2.0 μB/f.u.
uncorrected formation energy: 30.263 kcal/mol of atoms

a b c (Å): 4.6754 4.6754 4.6754
angles (deg): 90.00 90.00 90.00
Closest atoms and distances in Å follow each position.
Space group Pm-3m (No. 221)
Inequivalent atoms, fractional coordinates:
Li  0.0000  0.0000  0.5000 [3 per cell]  2 Tc 2.34
Si  0.5000  0.5000  0.5000 [1 per cell]  12 Li 3.31
Tc  0.0000  0.0000  0.0000 [1 per cell]  6 Li 2.34

---

The following is a DFT calculation (PBE-GGA) of a geometry-optimized KHg3Pd structure.

Values from the calculation:
formation energy from the elements: -16.1 kJ per mole of atoms
Fermi-level density of states: 0.263 states/eV/atom
magnetization: 0.0 μB/f.u.

a b c (Å): 9.4162 6.6607 10.5974
angles (deg): 90.00 124.02 90.00
Closest atoms and distances in Å follow each position.
Space group P2_1/c (No. 14)
Inequivalent atoms, fractional coordinates:
K  0.1640  0.2496  0.0816 [4 per cell]  9 Hg 3.35-3.67, 2 Pd 3.57-3.59
Hg  0.0665  0.5637  0.2828 [4 per cell]  2 Pd 2.75-2.77
Hg  0.3060  0.7503  0.1536 [4 per cell]  2 Pd 2.87
Hg  0.4258  0.2142  0.9618 [4 per cell]  2 Pd 2.76-2.83, 1 Hg 3.08
Pd  0.2617  0.5933  0.8816 [4 per cell]  6 Hg 2.75-2.87

---

The following is a DFT calculation (PBE-GGA) of a geometry-optimized NaAcAlH6 structure.

Values from the calculation:
electronic total energy: -30.85 eV per cell
Fermi-level density of states: 0.136 states/eV/atom
magnetization: 0.0 μB/f.u.

a b c (Å): 4.6454 5.1222 5.3126
angles (deg): 87.03 64.16 83.18
Closest atoms and distances in Å follow each position.
Space group P1 (No. 1)
Inequivalent atoms, fractional coordinates:
Na  0.0000  0.0000  0.0000 [1 per cell]  6 H 2.11-2.17
Ac  0.3379  0.4996  0.3245 [1 per cell]  6 H 2.35-2.60
Al  0.6810  0.9988  0.6364 [1 per cell]  6 H 1.68-1.86
H  0.0316  0.8524  0.6230 [1 per cell]  1 Al 1.68
H  0.3442  0.1462  0.6225 [1 per cell]  1 Al 1.68
H  0.4651  0.7753  0.8910 [1 per cell]  1 Al 1.75
H  0.6393  0.2206  0.8938 [1 per cell]  1 Al 1.75
H  0.7697  0.7522  0.3613 [1 per cell]  1 Al 1.86
H  0.8674  0.2467  0.3627 [1 per cell]  1 Al 1.86

---

The following is a DFT calculation (PBE-GGA) of a geometry-optimized ErPbF4 structure.

Values from the calculation:
Fermi-level density of states: 0.128 states/eV/atom
magnetization: 0.0 μB/f.u.
uncorrected formation energy: -72.377 kcal/mol of atoms

a b c (Å): 8.0213 9.0441 6.1327
angles (deg): 90.00 123.32 90.00
Closest atoms and distances in Å follow each position.
Space group C2/c (No. 15)
Inequivalent atoms, fractional coordinates:
Er  0.0000  0.1313  0.2500 [4 per cell]  8 F 2.25-2.42
Pb  0.0000  0.4304  0.7500 [4 per cell]  4 F 2.53-2.63
F  0.1232  0.0841  0.0053 [8 per cell]  2 Er 2.25-2.35, 1 F 2.47
F  0.2030  0.3264  0.3212 [8 per cell]  2 Er 2.27-2.42, 1 F 2.34

---

The following is a DFT calculation (PBE-GGA) of a geometry-optimized Ba2HgPtI structure.

Values from the calculation:
Fermi-level density of states: 0.573 states/eV/atom
magnetization: 0.0 μB/f.u.
uncorrected formation energy: -19.649 kcal/mol of atoms

a b c (Å): 6.1680 6.1680 5.3083
angles (deg): 90.00 90.00 90.00
Closest atoms and distances in Å follow each position.
Space group P4/mmm (No. 123)
Inequivalent atoms, fractional coordinates:
Ba  0.0000  0.5000  0.0000 [2 per cell]  2 Pt 3.08
Hg  0.0000  0.0000  0.5000 [1 per cell]  2 Pt 2.65
Pt  0.0000  0.0000  0.0000 [1 per cell]  2 Hg 2.65
I  0.5000  0.5000  0.5000 [1 per cell]  8 Ba 4.07, 4 Hg 4.36

---

The following is a DFT calculation (PBE-GGA) of a geometry-optimized Cs4SrHg3F12 structure.

Values from the calculation:
Fermi-level density of states: 0.000 states/eV/atom
magnetization: 0.0 μB/f.u.
uncorrected formation energy: -54.505 kcal/mol of atoms

a b c (Å): 9.4142 9.4142 9.4142
angles (deg): 90.00 90.00 90.00
Closest atoms and distances in Å follow each position.
Space group Im-3m (No. 229)
Inequivalent atoms, fractional coordinates:
Cs  0.2500  0.2500  0.2500 [8 per cell]  12 F 3.33
Sr  0.0000  0.0000  0.0000 [2 per cell]  6 F 2.39
Hg  0.0000  0.0000  0.5000 [6 per cell]  6 F 2.31-2.35
F  0.0000  0.0000  0.2541 [12 per cell]  1 Hg 2.31, 1 Sr 2.39
F  0.0000  0.2500  0.5000 [12 per cell]  2 Hg 2.35

---

The following is a DFT calculation (PBE-GGA) of a geometry-optimized Rb2GaHgCl6 structure.

Values from the calculation:
Fermi-level density of states: 0.065 states/eV/atom
magnetization: 0.0 μB/f.u.
uncorrected formation energy: -29.443 kcal/mol of atoms

a b c (Å): 10.5297 10.5297 10.5297
angles (deg): 90.00 90.00 90.00
Closest atoms and distances in Å follow each position.
Space group Fm-3m (No. 225)
Inequivalent atoms, fractional coordinates:
Rb  0.2500  0.2500  0.2500 [8 per cell]  12 Cl 3.73
Ga  0.0000  0.0000  0.0000 [4 per cell]  6 Cl 2.43
Hg  0.0000  0.0000  0.5000 [4 per cell]  6 Cl 2.83
Cl  0.0000  0.0000  0.2312 [24 per cell]  1 Ga 2.43